Compound: CdRe2Hg
Source: the Alexandria database
Functional: PBE
Structure: relaxed

a b c (Å): 4.643 3.892 3.892
angles (deg): 90.00 90.00 90.00
Fractional coordinates of all 4 atoms:
Hg  0.500  0.000  0.500
Cd  0.500  0.500  0.000
Re  0.000  0.000  0.000
Re  0.000  0.500  0.500

Computed properties:
As for the formation energy: 969 meV per atom. The space group is P4/mmm, No. 123. The calculation puts the total energy at -5.559 eV/atom.



Compound: Cd2ReHg
Source: the Alexandria database
Functional: PBE
Structure: relaxed

a b c (Å): 5.421 5.421 5.421
angles (deg): 135.42 135.42 64.88
Last column: magnetic moment on the atom in μB.
Fractional coordinates of all 4 atoms:
Cd  0.000  0.000  0.000  0.01
Cd  0.500  0.500  0.000  0.01
Re  0.750  0.250  0.500  0.81
Hg  0.250  0.750  0.500  -0.01

Computed properties:
As for the formation energy: 754 meV per atom. The space group is I4/mmm, No. 139. The calculation puts the total energy at -2.891 eV/atom.



Compound: CdReHg
Source: the Alexandria database
Functional: PBE
Structure: relaxed

a b c (Å): 7.255 7.255 7.255
angles (deg): 157.31 157.31 32.31
Fractional coordinates of all 3 atoms:
Re  0.665  0.665  0.000
Hg  0.326  0.326  0.000
Cd  0.009  0.009  0.000

Computed properties:
As for the formation energy: 767 meV per atom. The space group is I4mm, No. 107. The calculation puts the total energy at -3.788 eV/atom.



Compound: Cd3ReHg
Source: the Alexandria database
Functional: PBE
Structure: relaxed

a b c (Å): 5.318 5.318 5.318
angles (deg): 90.00 90.00 90.00
Last column: magnetic moment on the atom in μB.
Fractional coordinates of all 5 atoms:
Re  0.500  0.500  0.500  3.67
Cd  0.000  0.000  0.500  -0.01
Cd  0.000  0.500  0.000  0.00
Cd  0.500  0.000  0.000  0.03
Hg  0.000  0.000  0.000  0.03

Computed properties:
As for the formation energy: 1483 meV per atom. The space group is Pm-3m, No. 221. The calculation puts the total energy at -1.616 eV/atom.



Compound: Cd2ReHg
Source: the Alexandria database
Functional: PBE
Structure: relaxed

a b c (Å): 6.580 5.312 2.924
angles (deg): 89.97 63.67 119.82
Fractional coordinates of all 4 atoms:
Cd  0.500  0.000  0.500
Cd  0.000  0.000  0.000
Re  0.500  0.500  0.000
Hg  0.000  0.500  0.500

Computed properties:
As for the formation energy: 539 meV per atom. The space group is Cmmm, No. 65. The calculation puts the total energy at -3.106 eV/atom.



Compound: Cd2ReHg
Source: the Alexandria database
Functional: PBE
Structure: relaxed

a b c (Å): 4.223 4.224 4.261
angles (deg): 90.00 90.00 90.00
Last column: magnetic moment on the atom in μB.
Fractional coordinates of all 4 atoms:
Re  0.000  0.500  0.500  1.06
Hg  0.500  0.000  0.500  -0.02
Cd  0.500  0.500  0.000  -0.01
Cd  0.000  0.000  0.000  -0.01

Computed properties:
As for the formation energy: 642 meV per atom. The space group is P4/mmm, No. 123. The calculation puts the total energy at -3.003 eV/atom.



Compound: CdRe2Hg
Source: the Alexandria database
Functional: PBE
Structure: relaxed

a b c (Å): 2.828 4.571 5.649
angles (deg): 90.00 90.00 90.00
Fractional coordinates of all 4 atoms:
Cd  0.500  0.500  0.250
Re  0.000  0.000  0.461
Re  0.000  0.000  0.039
Hg  0.500  0.500  0.750

Computed properties:
As for the formation energy: 935 meV per atom. The space group is Pmmm, No. 47. The calculation puts the total energy at -5.593 eV/atom.



Compound: CdRe2Hg
Source: the Alexandria database
Functional: PBE
Structure: relaxed

a b c (Å): 4.595 4.595 4.595
angles (deg): 60.00 60.00 60.00
Fractional coordinates of all 4 atoms:
Cd  0.000  0.000  0.000
Hg  0.500  0.500  0.500
Re  0.250  0.250  0.250
Re  0.750  0.750  0.750

Computed properties:
As for the formation energy: 1220 meV per atom. The space group is Fm-3m, No. 225. The calculation puts the total energy at -5.308 eV/atom.



Compound: CdRe2Hg
Source: the Alexandria database
Functional: PBE
Structure: relaxed

a b c (Å): 2.837 2.837 10.173
angles (deg): 90.00 90.00 117.17
Fractional coordinates of all 4 atoms:
Re  0.000  0.000  0.024
Re  0.500  0.500  0.230
Cd  0.000  0.000  0.483
Hg  0.500  0.500  0.764

Computed properties:
As for the formation energy: 499 meV per atom. The space group is Cmm2, No. 35. The calculation puts the total energy at -6.029 eV/atom.



Compound: CdRe2Hg
Source: the Alexandria database
Functional: PBE
Structure: relaxed

a b c (Å): 4.818 4.818 5.416
angles (deg): 83.24 83.24 34.45
Fractional coordinates of all 4 atoms:
Cd  0.497  0.497  0.494
Hg  0.253  0.253  0.259
Re  0.747  0.747  0.789
Re  0.003  0.003  0.959

Computed properties:
As for the formation energy: 721 meV per atom. The space group is Cm, No. 8. The calculation puts the total energy at -5.807 eV/atom.



Compound: Cd2ReHg
Source: the Alexandria database
Functional: PBE
Structure: relaxed

a b c (Å): 5.411 5.411 5.411
angles (deg): 135.28 135.28 65.10
Last column: magnetic moment on the atom in μB.
Fractional coordinates of all 4 atoms:
Cd  0.000  0.000  0.000  0.01
Cd  0.250  0.750  0.500  -0.01
Hg  0.500  0.500  0.000  0.01
Re  0.750  0.250  0.500  0.82

Computed properties:
As for the formation energy: 769 meV per atom. The space group is I-4m2, No. 119. The calculation puts the total energy at -2.876 eV/atom.



Compound: Cd3ReHg
Source: the Alexandria database
Functional: PBE
Structure: relaxed

a b c (Å): 5.400 5.400 5.400
angles (deg): 90.00 90.00 90.00
Last column: magnetic moment on the atom in μB.
Fractional coordinates of all 5 atoms:
Re  0.000  0.000  0.000  1.93
Cd  0.000  0.000  0.500  0.03
Cd  0.000  0.500  0.000  0.04
Cd  0.500  0.000  0.000  0.02
Hg  0.500  0.500  0.500  0.04

Computed properties:
As for the formation energy: 962 meV per atom. The space group is Pm-3m, No. 221. The calculation puts the total energy at -2.137 eV/atom.